This record from Alexandria via LeMat-Bulk describes Ag3H4Pt2 after structural relaxation. The functional is PBE.

Cell: 2.881 7.949 5.807 Å, 116.79 90.00 100.44°
Fractional coordinates of all 9 atoms:
Pt 0.329 0.658 0.985
Pt 0.671 0.342 0.015
Ag 0.000 0.000 0.000
Ag 0.677 0.355 0.546
Ag 0.323 0.645 0.454
H 0.398 0.796 0.823
H 0.112 0.224 0.832
H 0.602 0.204 0.177
H 0.888 0.776 0.168

Calculated values
calculated density	10.3	g/cm³
relative energy among the computed polymorphs	0.039	eV/atom
size of the total moment	0.000	μB/f.u.